# PBE Cd4PtO6, relaxed
# V   15.52 A^3/atom
# DOS at the Fermi energy   0.81 states/eV/cell
# Theoretical density   7.2 g cm⁻³
# Calculated total energy   -190.75 eV per cell
# Total moment   0.0 μB per formula unit
data_Cd4PtO6
_space_group_name_H-M_alt 'C 1 c 1'
_space_group_IT_number 9
_cell_length_a 10.247
_cell_length_b 5.756
_cell_length_c 11.913
_cell_angle_alpha 90.00
_cell_angle_beta 103.63
_cell_angle_gamma 90.00
loop_
_space_group_symop_operation_xyz
'x,y,z'
'x,-y,z+1/2'
'x+1/2,y+1/2,z'
'x+1/2,-y+1/2,z+1/2'
loop_
_atom_site_label
_atom_site_fract_x
_atom_site_fract_y
_atom_site_fract_z
_atom_site_occupancy
Cd1 0.000 0.199 0.000 1
Cd2 0.125 0.279 0.296 1
Cd3 0.313 0.215 0.899 1
Cd4 0.376 0.291 0.194 1
Pt1 0.135 0.312 0.591 1
O1 0.037 0.173 0.439 1
O2 0.063 0.031 0.661 1
O3 0.207 0.392 0.023 1
O4 0.247 0.425 0.743 1
O5 0.342 0.147 0.364 1
O6 0.495 0.000 0.134 1